No. 1
RbTmMnO3: optimized geometry, GGA+U.

abc: 3.527 7.216 9.082
angles: 90.00 90.00 104.15
Site moments in Bohr magnetons follow the coordinates.
Element x y z (fractional)
O 0.399 0.799 0.965  0.03
O 0.399 0.799 0.535  0.03
O 0.601 0.201 0.465  0.03
O 0.601 0.201 0.035  0.03
O 0.985 0.971 0.250  0.10
O 0.015 0.029 0.750  0.10
Rb 0.689 0.378 0.750  0.01
Rb 0.311 0.622 0.250  0.01
Mn 0.421 0.841 0.750  4.46
Mn 0.579 0.159 0.250  4.46
Tm 0.000 0.000 0.000  0.00
Tm 0.000 0.000 0.500  0.00

The total energy comes out at -6.914 eV/atom. The calculation puts the volume at 224.1 Å³ per cell.



No. 2
Rb3Tm2MnO6: optimized geometry, GGA+U.

abc: 5.798 5.798 6.853
angles: 99.50 99.50 117.53
Site moments in Bohr magnetons follow the coordinates.
Element x y z (fractional)
O 0.637 0.942 0.841  -0.04
O 0.363 0.058 0.159  -0.04
O 0.290 0.290 0.806  0.04
O 0.942 0.637 0.841  -0.04
O 0.058 0.363 0.159  -0.04
O 0.710 0.710 0.194  0.04
Mn 0.000 0.000 0.000  3.96
Rb 0.166 0.834 0.500  0.00
Rb 0.834 0.166 0.500  0.00
Rb 0.500 0.500 0.500  0.00
Tm 0.336 0.664 0.000  0.01
Tm 0.664 0.336 0.000  0.01

The total energy comes out at -6.365 eV/atom. The calculation puts the volume at 193.6 Å³ per cell.



No. 3
Rb4Tm3MnO8: optimized geometry, GGA+U.

abc: 6.873 7.599 6.763
angles: 116.39 120.54 90.00
Site moments in Bohr magnetons follow the coordinates.
Element x y z (fractional)
O 0.203 0.659 0.406  -0.06
O 0.772 0.322 0.049  -0.01
O 0.278 0.322 0.049  -0.01
O 0.228 0.678 0.951  -0.01
O 0.722 0.678 0.951  -0.01
O 0.797 0.341 0.594  -0.06
O 0.273 0.327 0.547  0.00
O 0.727 0.673 0.453  0.00
Mn 0.000 0.500 0.000  4.03
Tm 0.500 0.500 0.000  0.00
Tm 0.500 0.500 0.500  0.01
Tm 0.000 0.500 0.500  0.01
Rb 0.500 0.000 0.500  0.00
Rb 0.000 0.000 0.500  0.00
Rb 0.500 0.000 0.000  0.00
Rb 0.000 0.000 0.000  0.00

The total energy comes out at -6.406 eV/atom. The calculation puts the volume at 260.5 Å³ per cell.



No. 4
Rb3U2MnO9: optimized geometry, GGA+U.

abc: 6.013 6.013 7.371
angles: 90.00 90.00 120.00
Site moments in Bohr magnetons follow the coordinates.
Element x y z (fractional)
Rb 0.000 0.000 0.000  0.00
Rb 0.667 0.333 0.338  0.00
Rb 0.333 0.667 0.662  0.00
O 0.000 0.500 0.000  -0.02
O 0.500 0.000 0.000  -0.02
O 0.830 0.661 0.670  -0.07
O 0.170 0.339 0.330  -0.07
O 0.830 0.170 0.670  -0.07
O 0.500 0.500 0.000  -0.02
O 0.339 0.170 0.670  -0.07
O 0.661 0.830 0.330  -0.07
O 0.170 0.830 0.330  -0.07
U 0.667 0.333 0.823  0.05
U 0.333 0.667 0.177  0.05
Mn 0.000 0.000 0.500  4.25

The total energy comes out at -7.632 eV/atom. The calculation puts the volume at 230.8 Å³ per cell.



No. 5
RbUMnO6: optimized geometry, GGA+U.

abc: 5.379 5.379 6.344
angles: 90.04 89.96 59.95
Site moments in Bohr magnetons follow the coordinates.
Element x y z (fractional)
O 0.372 0.610 0.330  -0.16
O 0.610 0.372 0.670  -0.16
O 0.018 0.611 0.669  -0.16
O 0.019 0.371 0.331  -0.16
O 0.371 0.019 0.669  -0.16
O 0.611 0.018 0.331  -0.16
Mn 0.333 0.333 0.500  3.02
U 0.666 0.667 0.500  0.03
Rb 0.000 0.000 0.000  0.00

The total energy comes out at -7.560 eV/atom. The calculation puts the volume at 158.9 Å³ per cell.



No. 6
Rb2U3MnO12: optimized geometry, GGA+U.

abc: 7.468 7.468 7.468
angles: 63.67 63.67 63.67
Site moments in Bohr magnetons follow the coordinates.
Element x y z (fractional)
Rb 0.369 0.369 0.369  0.00
Rb 0.631 0.631 0.631  0.00
U 0.000 0.500 0.000  0.01
U 0.000 0.000 0.500  0.01
U 0.500 0.000 0.000  0.01
O 0.058 0.675 0.675  -0.01
O 0.325 0.325 0.942  -0.01
O 0.944 0.294 0.944  -0.04
O 0.675 0.058 0.675  -0.01
O 0.056 0.056 0.706  -0.04
O 0.056 0.706 0.056  -0.04
O 0.706 0.056 0.056  -0.04
O 0.294 0.944 0.944  -0.04
O 0.325 0.942 0.325  -0.01
O 0.675 0.675 0.058  -0.01
O 0.942 0.325 0.325  -0.01
O 0.944 0.944 0.294  -0.04
Mn 0.000 0.000 0.000  3.13

The total energy comes out at -8.347 eV/atom. The calculation puts the volume at 318.3 Å³ per cell.



No. 7
Rb2UMn2O6: optimized geometry, GGA+U.

abc: 6.242 6.200 6.835
angles: 112.80 90.00 120.23
Site moments in Bohr magnetons follow the coordinates.
Element x y z (fractional)
O 0.239 0.949 0.261  0.02
O 0.716 0.432 0.613  0.01
O 0.290 0.051 0.739  0.02
O 0.284 0.568 0.387  0.01
O 0.710 0.949 0.261  0.02
O 0.761 0.051 0.739  0.02
Rb 0.702 0.405 0.136  0.00
Rb 0.298 0.595 0.864  0.00
U 0.500 0.000 0.500  0.30
Mn 0.916 0.833 0.699  4.50
Mn 0.084 0.167 0.301  4.50

The total energy comes out at -7.401 eV/atom. The calculation puts the volume at 204.3 Å³ per cell.



No. 8
RbUMnO5: optimized geometry, GGA+U.

abc: 6.878 6.878 7.667
angles: 119.26 119.26 99.98
Site moments in Bohr magnetons follow the coordinates.
Element x y z (fractional)
Mn 0.699 0.301 0.250  3.91
Mn 0.301 0.699 0.750  3.91
Rb 0.346 0.654 0.250  0.00
Rb 0.654 0.346 0.750  0.00
O 0.323 0.984 0.747  -0.04
O 0.756 0.611 0.274  -0.03
O 0.389 0.244 0.226  -0.03
O 0.611 0.756 0.774  -0.03
O 0.677 0.016 0.253  -0.04
O 0.984 0.323 0.247  -0.04
O 0.089 0.911 0.250  -0.01
O 0.244 0.389 0.726  -0.03
O 0.016 0.677 0.753  -0.04
O 0.911 0.089 0.750  -0.01
U 0.000 0.000 0.500  0.09
U 0.000 0.000 0.000  0.09

The total energy comes out at -7.934 eV/atom. The calculation puts the volume at 232.1 Å³ per cell.



No. 9
Rb3MnV2O8: optimized geometry, GGA+U.

abc: 5.736 5.736 7.939
angles: 90.00 90.00 120.00
Site moments in Bohr magnetons follow the coordinates.
Element x y z (fractional)
O 0.836 0.164 0.641  0.02
O 0.164 0.328 0.359  0.02
O 0.672 0.836 0.359  0.02
O 0.164 0.836 0.359  0.02
O 0.328 0.164 0.641  0.02
O 0.836 0.672 0.641  0.02
O 0.333 0.667 0.076  0.02
O 0.667 0.333 0.924  0.02
V 0.667 0.333 0.710  -0.16
V 0.333 0.667 0.290  -0.16
Rb 0.667 0.333 0.275  0.00
Rb 0.000 0.000 0.000  0.00
Rb 0.333 0.667 0.725  0.00
Mn 0.000 0.000 0.500  2.07

The total energy comes out at -6.394 eV/atom. The calculation puts the volume at 226.2 Å³ per cell.



No. 10
RbYMnWO6: optimized geometry, GGA+U.

abc: 5.625 5.433 9.750
angles: 87.24 90.00 90.00
Site moments in Bohr magnetons follow the coordinates.
Element x y z (fractional)
Rb 0.221 0.766 0.010  0.00
Rb 0.721 0.234 0.990  0.00
W 0.232 0.219 0.721  0.09
W 0.732 0.781 0.279  0.09
Mn 0.722 0.746 0.696  4.57
Mn 0.222 0.254 0.304  4.57
O 0.707 0.701 0.099  0.01
O 0.933 0.485 0.350  0.01
O 0.055 0.923 0.733  0.01
O 0.433 0.515 0.650  0.01
O 0.555 0.077 0.267  0.01
O 0.280 0.129 0.510  0.04
O 0.035 0.942 0.258  0.01
O 0.460 0.573 0.352  0.01
O 0.207 0.299 0.901  0.01
O 0.960 0.427 0.648  0.01
O 0.780 0.871 0.490  0.04
O 0.535 0.058 0.742  0.01
Y 0.672 0.270 0.498  0.00
Y 0.172 0.730 0.502  0.00

The total energy comes out at -7.544 eV/atom. The calculation puts the volume at 297.6 Å³ per cell.



No. 11
Rb3Y2MnO6: optimized geometry, GGA+U.

abc: 5.877 5.877 6.888
angles: 99.68 99.68 117.34
Site moments in Bohr magnetons follow the coordinates.
Element x y z (fractional)
Y 0.336 0.664 0.000  0.00
Y 0.664 0.336 0.000  0.00
O 0.642 0.941 0.840  -0.04
O 0.712 0.712 0.199  0.04
O 0.288 0.288 0.801  0.04
O 0.059 0.358 0.160  -0.04
O 0.941 0.642 0.840  -0.04
O 0.358 0.059 0.160  -0.04
Rb 0.166 0.834 0.500  0.00
Rb 0.500 0.500 0.500  0.00
Rb 0.834 0.166 0.500  0.00
Mn 0.000 0.000 0.000  3.96

The total energy comes out at -6.647 eV/atom. The calculation puts the volume at 200.0 Å³ per cell.



No. 12
RbYMnO3: optimized geometry, GGA+U.

abc: 3.596 7.111 9.250
angles: 90.00 90.00 104.64
Site moments in Bohr magnetons follow the coordinates.
Element x y z (fractional)
O 0.603 0.207 0.460  0.03
O 0.603 0.207 0.040  0.03
O 0.397 0.793 0.960  0.03
O 0.982 0.965 0.250  0.10
O 0.397 0.793 0.540  0.03
O 0.018 0.035 0.750  0.10
Mn 0.576 0.152 0.250  4.47
Mn 0.424 0.848 0.750  4.47
Rb 0.306 0.612 0.250  0.01
Rb 0.694 0.388 0.750  0.01
Y 0.000 0.000 0.500  0.01
Y 0.000 0.000 0.000  0.01

The total energy comes out at -7.194 eV/atom. The calculation puts the volume at 228.8 Å³ per cell.